Entry 1:
Compound: TbEr3Cd3
Source: the Alexandria database
Functional: PBE
Structure: relaxed

abc: 7.503 7.503 6.922
angles: 90.00 90.00 90.75
Atoms (fractional coordinates):
Tb 0.245 0.245 0.000
Tb 0.755 0.755 0.000
Er 0.237 0.763 0.500
Er 0.285 0.715 0.000
Er 0.294 0.294 0.500
Er 0.706 0.706 0.500
Er 0.715 0.285 0.000
Er 0.763 0.237 0.500
Cd 0.000 0.000 0.247
Cd 0.000 0.000 0.753
Cd 0.000 0.500 0.252
Cd 0.000 0.500 0.748
Cd 0.500 0.000 0.252
Cd 0.500 0.000 0.748

Calculated values
spin magnetization: 0.00 μB/atom
formation energy from the elements: -12.65 kJ per mole of atoms

---

Entry 2:
Compound: Tb3Er7Cd
Source: the Alexandria database
Functional: PBE
Structure: relaxed

abc: 6.900 6.900 8.475
angles: 90.00 90.00 120.00
Atoms (fractional coordinates):
Tb 0.168 0.336 0.000
Tb 0.168 0.832 0.000
Tb 0.664 0.832 0.000
Er 0.006 0.503 0.660
Er 0.332 0.166 0.337
Er 0.333 0.667 0.329
Er 0.497 0.503 0.660
Er 0.497 0.994 0.660
Er 0.834 0.166 0.337
Er 0.834 0.668 0.337
Cd 0.000 0.000 0.659

Calculated values
spin magnetization: 0.00 μB/atom
formation energy from the elements: 15.87 kJ per mole of atoms

---

Entry 3:
Compound: TbEr4Cd5
Source: the Alexandria database
Functional: PBE
Structure: relaxed

abc: 3.716 3.716 18.666
angles: 90.00 90.00 90.00
Atoms (fractional coordinates):
Tb 0.000 0.000 0.000
Er 0.000 0.000 0.202
Er 0.000 0.000 0.401
Er 0.000 0.000 0.599
Er 0.000 0.000 0.798
Cd 0.500 0.500 0.103
Cd 0.500 0.500 0.301
Cd 0.500 0.500 0.500
Cd 0.500 0.500 0.699
Cd 0.500 0.500 0.897

Calculated values
spin magnetization: 0.00 μB/atom
formation energy from the elements: -30.51 kJ per mole of atoms

---

Entry 4:
Compound: Tb4Er4Cd
Source: the Alexandria database
Functional: PBE
Structure: relaxed

abc: 7.790 7.790 7.790
angles: 95.79 95.79 142.96
Atoms (fractional coordinates):
Tb 0.165 0.165 0.330
Tb 0.165 0.835 0.000
Tb 0.835 0.165 0.000
Tb 0.835 0.835 0.670
Er 0.167 0.500 0.667
Er 0.500 0.167 0.667
Er 0.500 0.833 0.333
Er 0.833 0.500 0.333
Cd 0.500 0.500 0.000

Calculated values
spin magnetization: 0.00 μB/atom
formation energy from the elements: -1.25 kJ per mole of atoms

---

Entry 5:
Compound: TbEr3Cd6
Source: the Alexandria database
Functional: PBE
Structure: relaxed

abc: 9.143 5.133 10.994
angles: 90.00 105.55 90.00
Atoms (fractional coordinates):
Tb 0.056 0.250 0.392
Tb 0.944 0.750 0.608
Er 0.241 0.250 0.999
Er 0.351 0.750 0.796
Er 0.470 0.250 0.606
Er 0.530 0.750 0.394
Er 0.649 0.250 0.204
Er 0.759 0.750 0.001
Cd 0.053 0.750 0.902
Cd 0.144 0.750 0.196
Cd 0.154 0.250 0.695
Cd 0.244 0.750 0.500
Cd 0.345 0.250 0.293
Cd 0.451 0.750 0.096
Cd 0.549 0.250 0.904
Cd 0.655 0.750 0.707
Cd 0.756 0.250 0.500
Cd 0.846 0.750 0.305
Cd 0.856 0.250 0.804
Cd 0.947 0.250 0.098

Calculated values
spin magnetization: 0.00 μB/atom
formation energy from the elements: -27.30 kJ per mole of atoms

---

Entry 6:
Compound: Tb6ErCd
Source: the Alexandria database
Functional: PBE
Structure: relaxed

abc: 4.910 4.910 10.017
angles: 90.00 90.00 90.00
Atoms (fractional coordinates):
Tb 0.000 0.000 0.000
Tb 0.000 0.000 0.500
Tb 0.000 0.500 0.246
Tb 0.000 0.500 0.754
Tb 0.500 0.000 0.246
Tb 0.500 0.000 0.754
Er 0.500 0.500 0.500
Cd 0.500 0.500 0.000

Calculated values
spin magnetization: 0.00 μB/atom
formation energy from the elements: -3.15 kJ per mole of atoms

---

Entry 7:
Compound: Tb4Er5Cd
Source: the Alexandria database
Functional: PBE
Structure: relaxed

abc: 3.518 4.880 17.456
angles: 90.00 90.00 90.00
Atoms (fractional coordinates):
Tb 0.000 0.000 0.102
Tb 0.000 0.000 0.304
Tb 0.000 0.000 0.696
Tb 0.000 0.000 0.898
Er 0.500 0.500 0.000
Er 0.500 0.500 0.206
Er 0.500 0.500 0.408
Er 0.500 0.500 0.592
Er 0.500 0.500 0.794
Cd 0.000 0.000 0.500

Calculated values
spin magnetization: 0.00 μB/atom
formation energy from the elements: -1.43 kJ per mole of atoms

---

Entry 8:
Compound: TbErCd6
Source: the Alexandria database
Functional: PBE
Structure: relaxed

abc: 4.877 6.504 6.504
angles: 66.77 90.00 90.00
Atoms (fractional coordinates):
Tb 0.000 0.000 0.000
Er 0.500 0.731 0.731
Cd 0.000 0.053 0.488
Cd 0.000 0.488 0.053
Cd 0.000 0.541 0.541
Cd 0.500 0.191 0.191
Cd 0.500 0.244 0.676
Cd 0.500 0.676 0.244

Calculated values
spin magnetization: 0.00 μB/atom
formation energy from the elements: -26.58 kJ per mole of atoms